Version w
Here is crystalline Ca2AcTb at its relaxed geometry from the Alexandria database. Energies are from PBE.

Unit cell a=3.8135 b=3.8135 c=12.7134 alpha=81.37 beta=81.37 gamma=60.00
Last column: magnetic moment on the atom in μB.
Positions (direct):
Ca 0.2460 0.2460 0.2619  0.03
Ca 0.0871 0.0871 0.7387  0.02
Ac 0.6667 0.6667 0.9999  -0.01
Tb 0.5001 0.5001 0.4996  0.31

Output
- Crystal system: trigonal
- Fermi-level density of states: 1.4793 states/eV per atom
- Symmetry: R3m (160)

Version x
Here is crystalline Ca2AcTb at its relaxed geometry from the Alexandria database. Energies are from PBE.

Unit cell a=6.0587 b=6.0587 c=6.0587 alpha=60.00 beta=60.00 gamma=60.00
Positions (direct):
Ca 0.2500 0.2500 0.2500
Ca 0.7500 0.7500 0.7500
Ac 0.5000 0.5000 0.5000
Tb 0.0000 0.0000 0.0000

Output
- Crystal system: cubic
- Fermi-level density of states: 1.4080 states/eV per atom
- Symmetry: Fm-3m (225)

Which structure wins on stability? version w wins.

Version w
Here is crystalline CaAc2Tb at its relaxed geometry from the Alexandria database. Energies are from PBE.

Unit cell a=3.8618 b=3.8618 c=12.7860 alpha=81.31 beta=81.31 gamma=60.00
Positions (direct):
Tb 0.6668 0.6668 0.9996
Ac 0.2546 0.2546 0.2362
Ac 0.0789 0.0789 0.7634
Ca 0.4998 0.4998 0.5007

Output
- Crystal system: trigonal
- Fermi-level density of states: 1.1901 states/eV per atom
- Symmetry: R3m (160)

Version x
Here is crystalline CaAc2Tb at its relaxed geometry from the Alexandria database. Energies are from PBE.

Unit cell a=5.0578 b=5.6377 c=5.6377 alpha=90.00 beta=90.00 gamma=90.00
Positions (direct):
Tb 0.5000 0.5000 0.5000
Ac 0.0000 0.5000 0.0000
Ac 0.0000 0.0000 0.5000
Ca 0.5000 0.0000 0.0000

Output
- Crystal system: tetragonal
- Fermi-level density of states: 1.3880 states/eV per atom
- Symmetry: P4/mmm (123)

Which structure wins on stability? version w wins.

Version w
Here is crystalline CaAc2Tb at its relaxed geometry from the Alexandria database. Energies are from PBE.

Unit cell a=3.7504 b=3.7504 c=13.6749 alpha=82.12 beta=82.12 gamma=60.00
Positions (direct):
Ac 0.9156 0.9156 0.2533
Ac 0.0844 0.0844 0.7467
Ca 0.5000 0.5000 0.5000
Tb 0.0000 0.0000 0.0000

Output
- Crystal system: trigonal
- Fermi-level density of states: 1.7457 states/eV per atom
- Symmetry: R-3m (166)

Version x
Here is crystalline CaAc2Tb at its relaxed geometry from the Alexandria database. Energies are from PBE.

Unit cell a=3.8988 b=3.8988 c=10.7551 alpha=90.00 beta=90.00 gamma=90.00
Positions (direct):
Tb 0.5000 0.5000 0.0000
Ac 0.0000 0.0000 0.7650
Ac 0.0000 0.0000 0.2350
Ca 0.5000 0.5000 0.5000

Output
- Crystal system: tetragonal
- Fermi-level density of states: 1.6112 states/eV per atom
- Symmetry: P4/mmm (123)

Which structure wins on stability? version x wins.

Version w
Here is crystalline CaAc3Tb at its relaxed geometry from the Alexandria database. Energies are from PBE.

Unit cell a=8.0799 b=10.3080 c=10.3080 alpha=91.06 beta=90.00 gamma=89.99
Positions (direct):
Ca 0.2500 0.7529 0.2472
Ca 0.7500 0.7472 0.2529
Ca 0.2500 0.2528 0.7471
Ca 0.7500 0.2471 0.7528
Ac 0.8808 0.8953 0.8938
Ac 0.6192 0.1063 0.1046
Ac 0.1192 0.1047 0.1062
Ac 0.8703 0.0955 0.4045
Ac 0.1297 0.9045 0.5955
Ac 0.3808 0.8937 0.8954
Ac 0.3808 0.6046 0.6063
Ac 0.1193 0.3938 0.3953
Ac 0.6192 0.3954 0.3937
Ac 0.8807 0.6062 0.6047
Ac 0.3702 0.4045 0.0954
Ac 0.6298 0.5955 0.9046
Tb 0.8843 0.4015 0.0985
Tb 0.3843 0.0985 0.4015
Tb 0.1157 0.5985 0.9015
Tb 0.6157 0.9015 0.5985

Output
- Crystal system: orthorhombic
- Fermi-level density of states: 1.2330 states/eV per atom
- Symmetry: Cmce (64)

Version x
Here is crystalline CaAc3Tb at its relaxed geometry from the Alexandria database. Energies are from PBE.

Unit cell a=3.8893 b=10.9885 c=10.3275 alpha=105.45 beta=100.87 gamma=90.01
Positions (direct):
Ca 0.8178 0.0637 0.8934
Ca 0.0127 0.1610 0.2819
Ac 0.6132 0.4670 0.4844
Ac 0.4153 0.3839 0.0871
Ac 0.6135 0.9545 0.4821
Ac 0.2173 0.7576 0.6910
Ac 0.2170 0.2701 0.6932
Ac 0.4153 0.8407 0.0883
Tb 0.0165 0.6632 0.2900
Tb 0.8140 0.5614 0.8854

Output
- Crystal system: triclinic
- Fermi-level density of states: 1.6759 states/eV per atom
- Symmetry: P-1 (2)

Which structure wins on stability? version x wins.